No. 1
VASP calculation (PBE-GGA) on an optimized crystal structure of Mn2CrNi6.

Summary:
**Fermi-level density of states**: 0.925 states/eV per atom
**Crystal system**: trigonal
**Energy relative to the elements**: 0.121 eV per atom

Cell lengths 5.557, 4.803, 4.803 Å; angles 120.00, 90.00, 90.00 degrees
Sites, in units of the cell vectors:
Ni 0.823 0.342 0.171
Mn 0.604 0.333 0.667
Ni 0.823 0.829 0.658
Ni 0.177 0.171 0.829
Mn 0.396 0.667 0.333
Cr 0.500 0.000 0.000
Ni 0.177 0.658 0.829
Ni 0.177 0.171 0.342
Ni 0.823 0.829 0.171

No. 2
VASP calculation (PBE-GGA) on an optimized crystal structure of MnCrNi2.

Summary:
**Fermi-level density of states**: 1.085 states/eV per atom
**Crystal system**: cubic
**Energy relative to the elements**: 0.038 eV per atom

Cell lengths 4.038, 4.038, 4.038 Å; angles 60.00, 60.00, 60.00 degrees
Sites, in units of the cell vectors:
Ni 0.250 0.250 0.250
Ni 0.000 0.000 0.000
Cr 0.500 0.500 0.500
Mn 0.750 0.750 0.750

No. 3
VASP calculation (PBE-GGA) on an optimized crystal structure of MnCrNi2.

Summary:
**Fermi-level density of states**: 1.199 states/eV per atom
**Crystal system**: tetragonal
**Energy relative to the elements**: -0.031 eV per atom

Cell lengths 4.383, 4.383, 4.383 Å; angles 131.25, 131.25, 71.42 degrees
Sites, in units of the cell vectors:
Mn 0.250 0.750 0.500
Cr 0.500 0.500 0.000
Ni 0.750 0.250 0.500
Ni 0.000 0.000 0.000

No. 4
VASP calculation (PBE-GGA) on an optimized crystal structure of MnCrNi2.

Summary:
**Fermi-level density of states**: 1.132 states/eV per atom
**Crystal system**: tetragonal
**Energy relative to the elements**: 0.026 eV per atom

Cell lengths 2.974, 2.974, 5.263 Å; angles 90.00, 90.00, 90.00 degrees
Sites, in units of the cell vectors:
Ni 0.000 0.000 0.005
Ni 0.500 0.500 0.250
Mn 0.500 0.500 0.751
Cr 0.000 0.000 0.494